Here is CsNb2CuBr after structural relaxation from the Alexandria database. Energies are from PBE.

- Space group: P4/mmm

Cell lengths 4.8477, 7.5702, 4.8477 Å; angles 90.00, 90.00, 90.00 degrees
With the nearest neighbours (Å) after each atom.
Fractional positions:
Nb  0.5000  0.0000  0.0000  2 Cu 2.42
Br  0.5000  0.5000  0.5000  4 Cs 3.43
Cs  0.0000  0.5000  0.0000  4 Br 3.43, 2 Cu 3.79
Cu  0.0000  0.0000  0.0000  4 Nb 2.42
Nb  0.0000  0.0000  0.5000  2 Cu 2.42



Here is Cs2NdCuBr6 after structural relaxation from the Alexandria database. Energies are from PBE.

- Space group: Fm-3m

Cell lengths 7.9439, 7.9439, 7.9439 Å; angles 60.00, 60.00, 60.00 degrees
With the nearest neighbours (Å) after each atom.
Fractional positions:
Cu  0.0000  0.0000  0.0000  6 Br 2.72
Nd  0.5000  0.5000  0.5000  6 Br 2.90
Br  0.2421  0.7579  0.7579  1 Cu 2.72, 1 Nd 2.90
Br  0.7579  0.2421  0.2421  1 Cu 2.72, 1 Nd 2.90
Br  0.2421  0.2421  0.7579  1 Cu 2.72, 1 Nd 2.90
Cs  0.7500  0.7500  0.7500  12 Br 3.97
Br  0.7579  0.2421  0.7579  1 Cu 2.72, 1 Nd 2.90
Br  0.7579  0.7579  0.2421  1 Cu 2.72, 1 Nd 2.90
Cs  0.2500  0.2500  0.2500  12 Br 3.97
Br  0.2421  0.7579  0.2421  1 Cu 2.72, 1 Nd 2.90



Here is Cs2NdCu2Br6 after structural relaxation from the Alexandria database. Energies are from PBE.

- Space group: C2/m

Cell lengths 7.9302, 7.9435, 8.9542 Å; angles 117.88, 90.00, 119.94 degrees
With the nearest neighbours (Å) after each atom.
Fractional positions:
Nd  0.5000  0.0000  0.5000  6 Br 2.90-2.92
Cu  0.0390  0.0781  0.1573  1 Cu 2.41, 3 Br 2.52-2.54
Cs  0.7138  0.4277  0.1997  5 Br 3.67-3.80
Br  0.2083  0.9137  0.2300  1 Cu 2.54
Br  0.7054  0.9137  0.2300  1 Cu 2.54
Br  0.2553  0.5105  0.3663  1 Cu 2.52
Cu  0.9610  0.9219  0.8427  1 Cu 2.41, 3 Br 2.52-2.54
Br  0.2946  0.0863  0.7700  1 Cu 2.54
Br  0.7447  0.4895  0.6337  1 Cu 2.52
Cs  0.2862  0.5723  0.8003  5 Br 3.67-3.80
Br  0.7917  0.0863  0.7700  1 Cu 2.54



The formation energy (no corrections) results, record by record, are as follows: 107 -146 -116 kJ/mol of atoms.